# 1
VASP calculation (PBE) on a relaxed Sn2PtBr crystal. Values from VASP.

Output
The value obtained for the formation energy without anion corrections is -42 kJ/mol of atoms. The calculation puts the energy above the most stable polymorph in this dataset at 0.0 meV/atom.

```
&SYSTEM
  ibrav = 0, nat = 4, ntyp = 3
/
ATOMIC_SPECIES
Sn 118.71 Sn.upf
Pt 195.08 Pt.upf
Br 79.90 Br.upf
ATOMIC_POSITIONS crystal
Sn 0.233 0.233 0.233
Sn 0.767 0.767 0.767
Pt 0.500 0.500 0.500
Br 0.000 0.000 0.000
CELL_PARAMETERS angstrom
1.972 1.139 7.711
-1.972 1.139 7.711
0.000 -2.277 7.711
```

=====

# 2
VASP calculation (PBE) on a relaxed Sn2Pt2Br crystal. Values from VASP.

Output
The value obtained for the formation energy without anion corrections is -19 kJ/mol of atoms.

```
&SYSTEM
  ibrav = 0, nat = 5, ntyp = 3
/
ATOMIC_SPECIES
Sn 118.71 Sn.upf
Pt 195.08 Pt.upf
Br 79.90 Br.upf
ATOMIC_POSITIONS crystal
Sn 0.250 0.750 0.500
Sn 0.750 0.250 0.500
Pt 0.125 0.125 0.000
Pt 0.875 0.875 0.000
Br 0.500 0.500 0.000
CELL_PARAMETERS angstrom
-2.371 2.371 5.359
2.371 -2.371 5.359
2.371 2.371 -5.359
```

=====

# 3
VASP calculation (PBE) on a relaxed Sn2PtBr crystal. Values from VASP.

Output
The value obtained for the formation energy without anion corrections is -2 kJ/mol of atoms. The calculation puts the energy above the most stable polymorph in this dataset at 417.1 meV/atom.

```
&SYSTEM
  ibrav = 0, nat = 4, ntyp = 3
/
ATOMIC_SPECIES
Sn 118.71 Sn.upf
Pt 195.08 Pt.upf
Br 79.90 Br.upf
ATOMIC_POSITIONS crystal
Sn 0.250 0.250 0.250
Sn 0.750 0.750 0.750
Pt 0.000 0.000 0.000
Br 0.500 0.500 0.500
CELL_PARAMETERS angstrom
0.000 3.581 3.581
3.581 0.000 3.581
3.581 3.581 0.000
```

=====

# 4
VASP calculation (PBE) on a relaxed SnPtBr crystal. Values from VASP.

Output
The value obtained for the formation energy without anion corrections is -34 kJ/mol of atoms.

```
&SYSTEM
  ibrav = 0, nat = 12, ntyp = 3
/
ATOMIC_SPECIES
Sn 118.71 Sn.upf
Pt 195.08 Pt.upf
Br 79.90 Br.upf
ATOMIC_POSITIONS crystal
Sn 0.021 0.169 0.148
Sn 0.021 0.331 0.648
Sn 0.979 0.669 0.352
Sn 0.979 0.831 0.852
Pt 0.216 0.679 0.688
Pt 0.216 0.821 0.188
Pt 0.784 0.179 0.812
Pt 0.784 0.321 0.312
Br 0.375 0.063 0.692
Br 0.375 0.437 0.192
Br 0.625 0.563 0.808
Br 0.625 0.937 0.308
CELL_PARAMETERS angstrom
6.593 0.000 0.000
0.000 6.662 0.000
-2.952 0.000 7.716
```

=====

# 5
VASP calculation (PBE) on a relaxed Sn2PtBr crystal. Values from VASP.

Output
The value obtained for the formation energy without anion corrections is -21 kJ/mol of atoms. The calculation puts the energy above the most stable polymorph in this dataset at 216.7 meV/atom.

```
&SYSTEM
  ibrav = 0, nat = 8, ntyp = 3
/
ATOMIC_SPECIES
Sn 118.71 Sn.upf
Pt 195.08 Pt.upf
Br 79.90 Br.upf
ATOMIC_POSITIONS crystal
Sn 0.046 0.625 0.921
Sn 0.375 0.296 0.421
Sn 0.704 0.125 0.079
Sn 0.875 0.954 0.579
Pt 0.000 0.000 0.000
Pt 0.750 0.250 0.500
Br 0.250 0.750 0.500
Br 0.500 0.500 0.000
CELL_PARAMETERS angstrom
-3.164 3.164 6.880
3.164 -3.164 6.880
3.164 3.164 -6.880
```

=====

# 6
VASP calculation (PBE) on a relaxed TcSn2PtBr crystal. Values from VASP.

Output
The value obtained for the formation energy without anion corrections is 86 kJ/mol of atoms.

```
&SYSTEM
  ibrav = 0, nat = 5, ntyp = 4
/
ATOMIC_SPECIES
Tc 98.00 Tc.upf
Sn 118.71 Sn.upf
Pt 195.08 Pt.upf
Br 79.90 Br.upf
ATOMIC_POSITIONS crystal
Tc 0.000 0.000 0.000
Sn 0.000 0.500 0.500
Sn 0.500 0.000 0.500
Pt 0.500 0.500 0.500
Br 0.500 0.500 0.000
CELL_PARAMETERS angstrom
5.203 0.000 0.000
0.000 5.203 0.000
0.000 0.000 5.211
```

=====

# 7
VASP calculation (PBE) on a relaxed ZrSnPt2Br crystal. Values from VASP.

Output
The value obtained for the formation energy without anion corrections is 51 kJ/mol of atoms.

```
&SYSTEM
  ibrav = 0, nat = 5, ntyp = 4
/
ATOMIC_SPECIES
Zr 91.22 Zr.upf
Sn 118.71 Sn.upf
Pt 195.08 Pt.upf
Br 79.90 Br.upf
ATOMIC_POSITIONS crystal
Zr 0.000 0.000 0.000
Sn 0.500 0.500 0.000
Pt 0.000 0.500 0.500
Pt 0.500 0.000 0.500
Br 0.000 0.000 0.500
CELL_PARAMETERS angstrom
4.839 0.000 0.000
0.000 4.839 0.000
0.000 0.000 5.020
```

=====

# 8
VASP calculation (PBE) on a relaxed Sr3PtBr3 crystal. Values from VASP.

Output
The value obtained for the formation energy without anion corrections is -153 kJ/mol of atoms.

```
&SYSTEM
  ibrav = 0, nat = 28, ntyp = 3
/
ATOMIC_SPECIES
Sr 87.62 Sr.upf
Pt 195.08 Pt.upf
Br 79.90 Br.upf
ATOMIC_POSITIONS crystal
Sr 0.007 0.014 0.257
Sr 0.007 0.493 0.750
Sr 0.014 0.257 0.007
Sr 0.243 0.257 0.750
Sr 0.243 0.486 0.493
Sr 0.257 0.007 0.014
Sr 0.257 0.750 0.243
Sr 0.486 0.493 0.243
Sr 0.493 0.243 0.486
Sr 0.493 0.750 0.007
Sr 0.750 0.007 0.493
Sr 0.750 0.243 0.257
Pt 0.000 0.250 0.500
Pt 0.250 0.250 0.250
Pt 0.250 0.500 0.000
Pt 0.500 0.000 0.250
Br 0.000 0.000 0.750
Br 0.000 0.500 0.250
Br 0.000 0.750 0.000
Br 0.250 0.000 0.500
Br 0.250 0.750 0.750
Br 0.500 0.250 0.000
Br 0.500 0.500 0.750
Br 0.500 0.750 0.500
Br 0.750 0.000 0.000
Br 0.750 0.250 0.750
Br 0.750 0.500 0.500
Br 0.750 0.750 0.250
CELL_PARAMETERS angstrom
-6.290 6.290 6.290
6.290 -6.290 6.290
6.290 6.290 -6.290
```

=====

Among the records above, which one has the highest formation energy without anion corrections?
TcSn2PtBr